Entry 1:
Entry from Alexandria via LeMat-Bulk: a PBEsol-optimized structure of BaMnGa2Si (meta-GGA SCAN).

a b c (Å): 4.4868 4.6911 4.6911
angles (deg): 90.00 90.00 90.00
Element x y z (fractional)
Mn1 0.0000 0.0000 0.0000
Si1 0.5000 0.0000 0.0000
Ga1 0.0000 0.0000 0.5000
Ga2 0.0000 0.5000 0.0000
Ba1 0.5000 0.5000 0.5000

Calculated values
* magnetization: 0.00 μB per formula unit
* energy relative to the elements, uncorrected: -0.3020 eV/atom

=====

Entry 2:
Entry from Alexandria via LeMat-Bulk: a PBEsol-optimized structure of Ag7AsSe6 (meta-GGA SCAN).

a b c (Å): 10.6883 10.6883 10.6883
angles (deg): 90.00 90.00 90.00
Element x y z (fractional)
Se1 0.6230 0.6230 0.6230
Se2 0.3655 0.8782 0.1130
Se3 0.3782 0.3870 0.6345
Se4 0.7050 0.7950 0.2050
Se5 0.9741 0.5259 0.4741
Se6 0.1345 0.1218 0.6130
Se7 0.3870 0.6345 0.3782
Se8 0.8870 0.8655 0.6218
Se9 0.8770 0.3770 0.1230
Se10 0.7950 0.2050 0.7050
Se11 0.2950 0.2950 0.2950
Se12 0.5259 0.4741 0.9741
Se13 0.6345 0.3782 0.3870
Se14 0.2050 0.7050 0.7950
Se15 0.6218 0.8870 0.8655
Se16 0.3770 0.1230 0.8770
Se17 0.4741 0.9741 0.5259
Se18 0.6130 0.1345 0.1218
Se19 0.8782 0.1130 0.3655
Se20 0.1130 0.3655 0.8782
Se21 0.1218 0.6130 0.1345
Se22 0.8655 0.6218 0.8870
Se23 0.0259 0.0259 0.0259
Se24 0.1230 0.8770 0.3770
Ag1 0.5741 0.1041 0.7269
Ag2 0.1610 0.1610 0.1610
Ag3 0.4878 0.2157 0.4897
Ag4 0.1041 0.7269 0.5741
Ag5 0.4259 0.6041 0.7731
Ag6 0.7731 0.4259 0.6041
Ag7 0.0122 0.7843 0.9897
Ag8 0.9878 0.2843 0.5103
Ag9 0.7157 0.0103 0.5122
Ag10 0.3390 0.8390 0.6610
Ag11 0.7843 0.9897 0.0122
Ag12 0.3959 0.2731 0.0741
Ag13 0.0741 0.3959 0.2731
Ag14 0.4897 0.4878 0.2157
Ag15 0.5103 0.9878 0.2843
Ag16 0.9259 0.8959 0.2269
Ag17 0.2731 0.0741 0.3959
Ag18 0.7269 0.5741 0.1041
Ag19 0.6610 0.3390 0.8390
Ag20 0.8390 0.6610 0.3390
Ag21 0.8959 0.2269 0.9259
Ag22 0.0103 0.5122 0.7157
Ag23 0.2843 0.5103 0.9878
Ag24 0.2157 0.4897 0.4878
Ag25 0.2269 0.9259 0.8959
Ag26 0.6041 0.7731 0.4259
Ag27 0.5122 0.7157 0.0103
Ag28 0.9897 0.0122 0.7843
As1 0.7512 0.7512 0.7512
As2 0.2488 0.2512 0.7488
As3 0.2512 0.7488 0.2488
As4 0.7488 0.2488 0.2512

Calculated values
* magnetization: 0.00 μB per formula unit
* energy relative to the elements, uncorrected: -0.1027 eV/atom

=====

Entry 3:
Entry from Alexandria via LeMat-Bulk: a PBEsol-optimized structure of Ru5Rh4 (meta-GGA SCAN).

a b c (Å): 3.7681 5.9565 5.9565
angles (deg): 84.26 71.56 71.56
Element x y z (fractional)
Ru1 0.0000 0.0000 0.0000
Ru2 0.3351 0.3299 0.0000
Ru3 0.6649 0.0000 0.6701
Ru4 0.6649 0.6701 0.0000
Ru5 0.3351 0.0000 0.3299
Rh1 0.0000 0.3290 0.6710
Rh2 0.0000 0.6710 0.3290
Rh3 0.6710 0.3290 0.3290
Rh4 0.3290 0.6710 0.6710

Calculated values
* magnetization: 0.00 μB per formula unit
* E_form: 3.7 kJ/mol of atoms

=====

Entry 4:
Entry from Alexandria via LeMat-Bulk: a PBEsol-optimized structure of CsLi3Br (meta-GGA SCAN).

a b c (Å): 5.6436 5.6436 5.6436
angles (deg): 90.00 90.00 90.00
Element x y z (fractional)
Br1 0.0000 0.0000 0.0000
Cs1 0.5000 0.5000 0.5000
Li1 0.5000 0.0000 0.0000
Li2 0.0000 0.0000 0.5000
Li3 0.0000 0.5000 0.0000

Calculated values
* magnetization: 0.00 μB per formula unit
* energy relative to the elements, uncorrected: -0.2396 eV/atom

=====

Entry 5:
Entry from Alexandria via LeMat-Bulk: a PBEsol-optimized structure of Tm2Co3Si5 (meta-GGA SCAN).

a b c (Å): 5.3942 7.7644 7.7644
angles (deg): 74.17 69.67 69.67
Site moments in Bohr magnetons follow the coordinates.
Element x y z (fractional)
Si1 0.4722 0.2778 0.2778  0.00
Si2 0.2500 0.0000 0.0000  -0.01
Si3 0.0981 0.5647 0.2391  0.00
Si4 0.7500 0.0000 0.0000  -0.01
Si5 0.9019 0.4353 0.7609  0.00
Si6 0.5981 0.2391 0.5647  0.00
Si7 0.9722 0.2778 0.2778  0.00
Si8 0.4019 0.7609 0.4353  0.00
Si9 0.5278 0.7222 0.7222  0.00
Si10 0.0278 0.7222 0.7222  0.00
Co1 0.7500 0.5000 0.5000  0.53
Co2 0.2500 0.5000 0.5000  0.53
Co3 0.3605 0.0339 0.2450  0.05
Co4 0.6395 0.9661 0.7550  0.05
Co5 0.1395 0.7550 0.9661  0.05
Co6 0.8605 0.2450 0.0339  0.05
Tm1 0.3635 0.3683 0.9048  0.00
Tm2 0.8635 0.9048 0.3683  0.00
Tm3 0.1365 0.0952 0.6317  0.00
Tm4 0.6365 0.6317 0.0952  0.00

Calculated values
* magnetization: 0.55 μB per formula unit
* energy relative to the elements, uncorrected: -0.7254 eV/atom

=====

Entry 6:
Entry from Alexandria via LeMat-Bulk: a PBEsol-optimized structure of YBeIO2 (meta-GGA SCAN).

a b c (Å): 4.1131 4.1131 5.9682
angles (deg): 90.00 90.00 90.00
Site moments in Bohr magnetons follow the coordinates.
Element x y z (fractional)
I1 0.0000 0.0000 0.0000  0.00
Be1 0.5000 0.5000 0.5000  0.06
O1 0.5000 0.0000 0.0000  0.01
O2 0.0000 0.5000 0.0000  0.01
Y1 0.0000 0.0000 0.5000  0.17

Calculated values
* magnetization: 0.42 μB per formula unit
* energy relative to the elements, uncorrected: 0.2890 eV/atom

=====

| no. | VASP energy (eV/f.u.) |
| --- | --- |
| 1 | -102.0 |
| 2 | -361.7 |
| 3 | -308.9 |
| 4 | -65.6 |
| 5 | -212.9 |
| 6 | -80.0 |